1.
VASP calculation (SCAN) on a crystal of K3HRu relaxed with PBEsol.

DOS at the Fermi energy (states/eV per cell): 0.20
Final energy (eV/cell): -60.12
M_tot (μB per atom): 0.400

Cell lengths 5.230, 5.230, 5.230 Å; angles 90.00, 90.00, 90.00 degrees
Sites, in units of the cell vectors:
Ru 0.500 0.500 0.500
K 0.000 0.500 0.000
K 0.000 0.000 0.500
K 0.500 0.000 0.000
H 0.000 0.000 0.000

=====

2.
VASP calculation (SCAN) on a crystal of Li2UMo2O10 relaxed with PBEsol.

DOS at the Fermi energy (states/eV per cell): 0.00
Final energy (eV/cell): -278.12
M_tot (μB per atom): 0.000
E_form (uncorrected) (eV per atom): -2.516

Cell lengths 5.416, 5.792, 8.194 Å; angles 108.21, 99.76, 104.99 degrees
Sites, in units of the cell vectors:
Li 0.477 0.213 0.425
Li 0.523 0.787 0.575
U 0.000 0.000 0.000
Mo 0.921 0.654 0.305
Mo 0.079 0.346 0.695
O 0.777 0.129 0.546
O 0.796 0.795 0.157
O 0.687 0.935 0.839
O 0.975 0.372 0.174
O 0.300 0.430 0.575
O 0.025 0.628 0.826
O 0.204 0.205 0.843
O 0.700 0.570 0.425
O 0.223 0.871 0.454
O 0.313 0.065 0.161

=====

3.
VASP calculation (SCAN) on a crystal of TaZnRu relaxed with PBEsol.

DOS at the Fermi energy (states/eV per cell): 1.77
Final energy (eV/cell): -115.62
Formation energy (eV/atom): -0.233
M_tot (μB per atom): 0.000

Cell lengths 2.994, 3.525, 4.788 Å; angles 111.60, 108.22, 90.00 degrees
Sites, in units of the cell vectors:
Ru 0.999 0.999 0.998
Zn 0.338 0.338 0.677
Ta 0.663 0.663 0.326

=====

4.
VASP calculation (SCAN) on a crystal of MgZn2Ni relaxed with PBEsol.

DOS at the Fermi energy (states/eV per cell): 1.09
Final energy (eV/cell): -48.97
Formation energy (eV/atom): -0.198
M_tot (μB per atom): 0.000

Cell lengths 3.711, 3.711, 4.702 Å; angles 113.24, 113.24, 90.00 degrees
Sites, in units of the cell vectors:
Ni 0.000 0.000 0.000
Zn 0.750 0.250 0.500
Zn 0.250 0.750 0.500
Mg 0.500 0.500 0.000

=====

Calculated theoretical density in order - 2.5; 4.4; 13.0; 6.6 g/cm³